Record 1
! LuAl2Rh, relaxed, DFT GGA-PBE; values from VASP
&SYSTEM
  ibrav = 0, nat = 4, ntyp = 3
/
ATOMIC_SPECIES
Lu 174.97 Lu.upf
Al 26.98 Al.upf
Rh 102.91 Rh.upf
ATOMIC_POSITIONS crystal
Lu 0.000 0.000 0.000
Al 0.250 0.250 0.250
Al 0.750 0.750 0.750
Rh 0.500 0.500 0.500
CELL_PARAMETERS angstrom
0.000 3.236 3.236
3.236 0.000 3.236
3.236 3.236 0.000
! total DFT energy (no corrections) = -5.398 eV per atom
! magnetic moment = 0.00 μB/f.u.
! mass density = 8.131 g/cm³
! E_form = -2.236 eV/f.u.

Record 2
! K2NpPa2N6, relaxed, DFT GGA-PBE; values from VASP
&SYSTEM
  ibrav = 0, nat = 11, ntyp = 4
/
ATOMIC_SPECIES
K 39.10 K.upf
Np 237.00 Np.upf
Pa 231.04 Pa.upf
N 14.01 N.upf
ATOMIC_POSITIONS crystal
K 0.163 0.837 0.000
K 0.837 0.163 0.000
Np 0.000 0.000 0.500
Pa 0.333 0.667 0.500
Pa 0.667 0.333 0.500
N 0.041 0.371 0.650
N 0.264 0.264 0.353
N 0.371 0.041 0.650
N 0.629 0.959 0.350
N 0.736 0.736 0.647
N 0.959 0.629 0.350
CELL_PARAMETERS angstrom
3.065 -5.346 0.000
3.065 5.346 0.000
-1.855 0.000 6.528
! total DFT energy (no corrections) = -8.772 eV per atom
! magnetic moment = 1.00 μB/f.u.
! mass density = 6.685 g/cm³
! formation energy (no corrections) = -1.1284 eV/atom

Record 3
! La2PmPr3As6, relaxed, DFT GGA-PBE; values from VASP
&SYSTEM
  ibrav = 0, nat = 12, ntyp = 4
/
ATOMIC_SPECIES
La 138.91 La.upf
Pm 145.00 Pm.upf
Pr 140.91 Pr.upf
As 74.92 As.upf
ATOMIC_POSITIONS crystal
La 0.166 0.166 0.332
La 0.834 0.834 0.668
Pm 0.500 0.500 0.000
Pr 0.167 0.167 0.834
Pr 0.500 0.500 0.500
Pr 0.833 0.833 0.166
As 0.001 0.001 0.753
As 0.334 0.334 0.416
As 0.335 0.335 0.919
As 0.665 0.665 0.081
As 0.666 0.666 0.584
As 0.999 0.999 0.247
CELL_PARAMETERS angstrom
9.413 -2.161 0.000
9.413 2.161 0.000
-1.985 0.000 8.408
! total DFT energy (no corrections) = -6.264 eV per atom
! magnetic moment = 0.00 μB/f.u.
! mass density = 6.287 g/cm³
! E_form = -18.328 eV/f.u.

Record 4
! LiErCoSi, relaxed, DFT GGA-PBE; values from VASP
&SYSTEM
  ibrav = 0, nat = 4, ntyp = 4
/
ATOMIC_SPECIES
Li 6.94 Li.upf
Er 167.26 Er.upf
Co 58.93 Co.upf
Si 28.09 Si.upf
ATOMIC_POSITIONS crystal
Li 0.000 0.000 0.000
Er 0.250 0.250 0.250
Co 0.500 0.500 0.500
Si 0.750 0.750 0.750
CELL_PARAMETERS angstrom
0.000 3.089 3.089
3.089 0.000 3.089
3.089 3.089 0.000
! total DFT energy (no corrections) = -5.120 eV per atom
! magnetic moment = 0.75 μB/f.u.
! mass density = 7.358 g/cm³
! formation energy (no corrections) = -0.3682 eV/atom